Record 1
Density functional theory data (PBE) for Rb3H2I4 after structural relaxation.

Structure (POSCAR):
```
Rb3H2I4
1.0
9.202 -4.953 0.000
9.202 4.953 0.000
-0.244 0.000 8.394
Rb H I
6 4 8
Direct
0.008 0.992 0.750
0.260 0.480 0.115
0.480 0.260 0.615
0.520 0.740 0.385
0.740 0.520 0.885
0.992 0.008 0.250
0.207 0.213 0.591
0.213 0.207 0.091
0.787 0.793 0.909
0.793 0.787 0.409
0.199 0.219 0.845
0.219 0.199 0.345
0.234 0.667 0.494
0.333 0.766 0.006
0.667 0.234 0.994
0.766 0.333 0.506
0.781 0.801 0.655
0.801 0.781 0.155
```

magnetization: 0.52 μB/f.u.
theoretical density: 3.3 g/cm³
E: -45.22 eV/cell

***

Record 2
Density functional theory data (PBE) for CdAu2Cl after structural relaxation.

Structure (POSCAR):
```
CdAu2Cl
1.0
-3.970 3.970 2.778
3.970 -3.970 2.778
3.970 3.970 -2.778
Cd Au Cl
2 4 2
Direct
0.000 0.000 0.000
0.750 0.250 0.500
0.118 0.625 0.993
0.375 0.368 0.493
0.632 0.125 0.007
0.875 0.882 0.507
0.250 0.750 0.500
0.500 0.500 0.000
```

uncorrected formation energy: 14 meV per atom
magnetization: 0.00 μB/f.u.
theoretical density: 10.3 g/cm³

***

Record 3
Density functional theory data (PBE) for LaPrSmTl after structural relaxation.

Structure (POSCAR):
```
LaPrSmTl
1.0
0.000 4.013 4.013
4.013 0.000 4.013
4.013 4.013 0.000
La Pr Sm Tl
1 1 1 1
Direct
0.000 0.000 0.000
0.500 0.500 0.500
0.250 0.250 0.250
0.750 0.750 0.750
```

magnetization: 1.43 μB/f.u.
theoretical density: 8.1 g/cm³
formation energy: -0.08 eV per atom

***

Record 4
Density functional theory data (PBE) for Be4Cd after structural relaxation.

Structure (POSCAR):
```
Be4Cd
1.0
-2.788 2.788 1.753
2.788 -2.788 1.753
2.788 2.788 -1.753
Be Cd
4 1
Direct
0.075 0.673 0.748
0.327 0.075 0.401
0.673 0.925 0.599
0.925 0.327 0.252
0.500 0.500 0.000
```

magnetization: 0.00 μB/f.u.
theoretical density: 4.5 g/cm³
formation energy: 0.37 eV per atom

***

Record 5
Density functional theory data (PBE) for Y6Mg5Bi after structural relaxation.

Structure (POSCAR):
```
Y6Mg5Bi
1.0
-2.702 3.759 8.108
2.702 -3.759 8.108
2.702 3.759 -8.108
Y Mg Bi
6 5 1
Direct
0.080 0.332 0.748
0.246 0.000 0.246
0.416 0.668 0.748
0.584 0.332 0.252
0.754 0.000 0.754
0.920 0.668 0.252
0.000 0.500 0.500
0.166 0.166 0.000
0.328 0.828 0.500
0.672 0.172 0.500
0.834 0.834 0.000
0.500 0.500 0.000
```

magnetization: 0.00 μB/f.u.
theoretical density: 4.4 g/cm³
formation energy: -0.22 eV per atom

***

Record 6
Density functional theory data (PBE) for FeTcNi2 after structural relaxation.

Structure (POSCAR):
```
FeTcNi2
1.0
0.000 2.888 2.888
2.888 0.000 2.888
2.888 2.888 0.000
Fe Tc Ni
1 1 2
Direct
0.000 0.000 0.000
0.250 0.250 0.250
0.500 0.500 0.500
0.750 0.750 0.750
```

magnetization: 2.35 μB/f.u.
theoretical density: 9.3 g/cm³
formation energy: 0.13 eV per atom

***

Record 7
Density functional theory data (PBE) for Mg2InGa8 after structural relaxation.

Structure (POSCAR):
```
Mg2InGa8
1.0
4.163 0.000 0.000
0.000 4.163 0.000
0.000 0.000 12.780
Mg In Ga
2 1 8
Direct
0.000 0.000 0.163
0.000 0.000 0.837
0.000 0.000 0.500
0.000 0.500 0.000
0.000 0.500 0.331
0.000 0.500 0.669
0.500 0.000 0.000
0.500 0.000 0.331
0.500 0.000 0.669
0.500 0.500 0.169
0.500 0.500 0.831
```

magnetization: 0.00 μB/f.u.
theoretical density: 5.4 g/cm³
formation energy: -0.03 eV per atom

***

Record 8
Density functional theory data (PBE) for Ti3PtC after structural relaxation.

Structure (POSCAR):
```
Ti3PtC
1.0
7.484 0.000 0.000
0.000 5.387 0.000
-3.232 0.000 7.200
Ti Pt C
12 4 4
Direct
0.062 0.082 0.355
0.062 0.418 0.855
0.192 0.577 0.545
0.192 0.923 0.045
0.365 0.129 0.769
0.365 0.371 0.269
0.635 0.629 0.731
0.635 0.871 0.231
0.808 0.077 0.955
0.808 0.423 0.455
0.938 0.582 0.145
0.938 0.918 0.645
0.389 0.681 0.893
0.389 0.819 0.393
0.611 0.181 0.607
0.611 0.319 0.107
0.078 0.246 0.605
0.078 0.254 0.105
0.922 0.746 0.895
0.922 0.754 0.395
```

magnetization: 0.00 μB/f.u.
theoretical density: 8.0 g/cm³
formation energy: -0.73 eV per atom

***

Record 9
Density functional theory data (PBE) for La6Ni2RuI3 after structural relaxation.

Structure (POSCAR):
```
La6Ni2RuI3
1.0
3.637 -6.306 0.000
3.637 6.306 0.000
-2.425 0.000 8.266
La Ni Ru I
6 2 1 3
Direct
0.062 0.391 0.185
0.267 0.267 0.815
0.391 0.062 0.185
0.609 0.938 0.815
0.733 0.733 0.185
0.938 0.609 0.815
0.333 0.667 0.000
0.667 0.333 0.000
0.000 0.000 0.000
0.166 0.834 0.500
0.500 0.500 0.500
0.834 0.166 0.500
```

uncorrected formation energy: -785 meV per atom
magnetization: 0.00 μB/f.u.
theoretical density: 6.3 g/cm³

***

Record 10
Density functional theory data (PBE) for Tm2AlCo after structural relaxation.

Structure (POSCAR):
```
Tm2AlCo
1.0
1.624 0.937 9.717
-1.624 0.937 9.717
0.000 -1.875 9.717
Tm Al Co
2 1 1
Direct
0.084 0.084 0.084
0.916 0.916 0.916
0.500 0.500 0.500
0.000 0.000 0.000
```

magnetization: 0.82 μB/f.u.
theoretical density: 7.9 g/cm³
formation energy: 0.38 eV per atom

***

Record 11
Density functional theory data (PBE) for Mn2ZnHRu after structural relaxation.

Structure (POSCAR):
```
Mn2ZnHRu
1.0
3.664 0.000 0.000
0.000 3.664 0.000
0.000 0.000 4.042
Mn Zn H Ru
2 1 1 1
Direct
0.000 0.500 0.000
0.500 0.000 0.000
0.000 0.000 0.500
0.000 0.000 0.000
0.500 0.500 0.500
```

magnetization: 5.02 μB/f.u.
theoretical density: 8.5 g/cm³
E: -31.59 eV/cell

***

Record 12
Density functional theory data (PBE) for Sm6Dy3HoEr2 after structural relaxation.

Structure (POSCAR):
```
Sm6Dy3HoEr2
1.0
3.103 -5.372 0.000
3.103 5.372 0.000
-2.060 0.000 11.609
Sm Dy Ho Er
6 3 1 2
Direct
0.083 0.417 0.751
0.250 0.250 0.249
0.417 0.083 0.751
0.583 0.917 0.249
0.750 0.750 0.751
0.917 0.583 0.249
0.000 0.000 0.500
0.333 0.667 0.500
0.667 0.333 0.500
0.500 0.500 0.000
0.167 0.833 0.000
0.833 0.167 0.000
```

magnetization: 0.01 μB/f.u.
theoretical density: 8.1 g/cm³
formation energy: 0.01 eV per atom

***

| no. | DOS at the Fermi energy (states/eV per atom) | volume (Å³/atom) |
| --- | --- | --- |
| 1 | 0.09 | 42.5 |
| 2 | 0.39 | 21.9 |
| 3 | 1.41 | 32.3 |
| 4 | 0.17 | 10.9 |
| 5 | 0.90 | 27.5 |
| 6 | 1.22 | 12.0 |
| 7 | 0.42 | 20.1 |
| 8 | 0.94 | 14.5 |
| 9 | 0.56 | 31.6 |
| 10 | 0.87 | 22.2 |
| 11 | 0.70 | 10.9 |
| 12 | 1.18 | 32.3 |